No. 1
16
Lattice="6.969 0.000 3.992 2.341 6.564 3.992 0.022 0.016 8.041" Properties=species:S:1:pos:R:3 comment="PBE-GGA Tb5Sc3Se8, optimized geometry" sg="R-3m, No. 166" dft_energy_ev_per_cell=-97.05 crystal_system=trigonal pbc="T T T"
Tb 3.485 0.000 1.996
Tb 4.655 3.282 3.992
Tb 0.000 0.000 0.000
Tb 1.171 3.282 1.996
Tb 4.666 3.290 8.013
Sc 3.496 0.008 6.017
Sc 0.011 0.008 4.021
Sc 1.182 3.290 6.017
Se 2.344 1.652 7.934
Se 3.542 5.011 9.976
Se 5.910 1.652 9.976
Se 7.053 4.973 11.926
Se 6.989 4.928 8.092
Se 5.791 1.569 6.049
Se 3.423 4.928 6.049
Se 2.280 1.607 4.099


No. 2
12
Lattice="6.914 -0.125 -1.302 -3.750 5.810 -1.302 0.139 0.250 7.043" Properties=species:S:1:pos:R:3 comment="PBE-GGA Tb5ScSe6, optimized geometry" sg="C2/m, No. 12" dft_energy_ev_per_cell=-71.24 crystal_system=monoclinic pbc="T T T"
Sc 0.000 0.000 0.000
Tb 5.145 1.024 2.220
Tb 3.358 1.854 -1.302
Tb 1.652 2.968 2.220
Tb -0.194 3.831 -1.302
Tb -1.842 4.912 2.220
Se 2.522 0.478 1.078
Se 4.226 3.540 3.361
Se 0.865 1.555 4.672
Se 2.438 4.381 -0.232
Se -0.923 2.396 1.078
Se 0.781 5.457 3.361


No. 3
8
Lattice="-0.739 0.096 -3.842 4.490 -5.048 -0.990 -6.179 -2.680 1.121" Properties=species:S:1:pos:R:3 comment="PBE-GGA TbSc3Se4, optimized geometry" sg="Cmmm, No. 65" dft_energy_ev_per_cell=-50.57 crystal_system=orthorhombic pbc="T T T"
Tb -0.369 0.048 -1.921
Sc -3.089 -1.340 0.561
Sc -1.214 -3.816 -1.855
Sc 2.245 -2.524 -0.495
Se -0.442 -2.023 0.034
Se 1.391 -4.394 -2.371
Se -1.247 -5.705 0.097
Se -3.819 -3.237 -1.340


No. 4
14
Lattice="7.152 0.000 0.240 0.000 7.092 0.000 -2.357 0.000 7.419" Properties=species:S:1:pos:R:3 comment="PBE-GGA Tb2ScSe4, optimized geometry" sg="P2_1/m, No. 11" dft_energy_ev_per_cell=-81.63 crystal_system=monoclinic pbc="T T T"
Tb 4.804 5.319 0.531
Tb -0.010 1.773 7.129
Tb 1.144 1.773 3.455
Tb 3.651 5.319 4.205
Sc 1.076 5.319 1.365
Sc 3.718 1.773 6.295
Se 2.984 3.532 1.979
Se 5.044 5.319 6.658
Se -0.250 1.773 1.002
Se 2.984 0.014 1.979
Se -1.427 1.773 4.597
Se 1.810 7.078 5.681
Se 1.810 3.561 5.681
Se 6.221 5.319 3.063